A plane-wave DFT calculation with PBE with a Hubbard U was carried out for crystalline Li5NiOF5 at its relaxed geometry.

Cell lengths 3.1805, 3.1805, 15.1626 Å; angles 90.00, 90.00, 120.00 degrees
Last column: nearest neighbours and their distance in Å.
Positions (direct):
Li (0.3333, 0.6667, 0.6615)  4 F 1.89-1.92
Li (0.3333, 0.6667, 0.3387)  4 F 1.89-1.92
Li (0.0000, 0.0000, 0.5001)  4 F 1.89-1.92
Li (0.0000, 0.0000, 0.8230)  4 F 1.89-1.92
Li (0.0000, 0.0000, 0.1762)  3 F 1.92, 1 O 2.00
Ni (0.3333, 0.6667, 0.0096)  3 O 1.91
O (0.0000, 0.0000, 0.0446)  3 Ni 1.91, 1 Li 2.00
F (0.3333, 0.6667, 0.5367)  4 Li 1.89-1.92
F (0.3333, 0.6667, 0.2139)  4 Li 1.89-1.92
F (0.3333, 0.6667, 0.8592)  3 Li 1.92
F (0.0000, 0.0000, 0.6981)  4 Li 1.89-1.92
F (0.0000, 0.0000, 0.3754)  4 Li 1.89-1.92

Properties
- excess energy over the best structure of this formula in the dataset (meV per atom) = 41
- final energy (eV/atom) = -4.768
- D(E_F) (states/eV per cell) = 0.00
- total magnetic moment (μB per atom) = 0.167